Compound: Y2PaH
Source: Alexandria via LeMat-Bulk
Functional: PBE
Structure: relaxed

a b c (Å): 3.2394 3.2394 8.4192
angles (deg): 90.00 90.00 90.00
Space group P4/mmm (No. 123)
Unique sites:
Y (0.0000, 0.0000, 0.1959) (multiplicity 2)
Pa (0.5000, 0.5000, 0.5000) (multiplicity 1)
H (0.5000, 0.5000, 0.0000) (multiplicity 1)

Output
- Fermi-level density of states (states/eV per cell) = 6.681
- V (Å³ per cell) = 88.4
- offset from the most stable computed form (eV per formula unit) = 0.39